1.
{"formula": "YRuIO2", "functional": "PBE", "state": "optimized geometry", "cell": [[4.1654, 0.0000, 0.0000], [0.0000, 4.1654, 0.0000], [0.0000, 0.0000, 5.1801]], "species": ["I", "O", "Y", "Ru", "O"], "fractional_positions": [[0.0000, 0.0000, 0.5000], [0.0000, 0.5000, 0.0000], [0.5000, 0.5000, 0.5000], [0.0000, 0.0000, 0.0000], [0.5000, 0.0000, 0.0000]], "e_form_raw_ev_per_atom": -0.490, "relative_energy_ev_per_atom": 0.055, "spacegroup": "P4/mmm (123)"}

2.
{"formula": "LiMnCl4", "functional": "PBE", "state": "optimized geometry", "cell": [[6.6804, 0.0000, 0.0000], [0.0000, 6.6804, 0.0000], [-3.3402, -3.3402, 3.9094]], "species": ["Cl", "Cl", "Cl", "Li", "Mn", "Cl"], "fractional_positions": [[0.6623, 0.5983, 0.8184], [0.4017, 0.8439, 0.1816], [0.1561, 0.2201, 0.8184], [0.7500, 0.2500, 0.5000], [0.5000, 0.5000, 0.0000], [0.7799, 0.3377, 0.1816]], "e_form_raw_ev_per_atom": -1.201, "relative_energy_ev_per_atom": 0.054, "spacegroup": "I-4 (82)"}

3.
{"formula": "Cs3Hg", "functional": "PBE", "state": "optimized geometry", "cell": [[-4.4521, 2.4317, 1.1911], [-0.4997, -2.9141, 4.0817], [6.6555, 8.7327, 7.0495]], "species": ["Cs", "Cs", "Cs", "Hg"], "fractional_positions": [[0.5000, 0.0000, 0.7707], [0.5000, 0.5000, 0.1141], [0.0000, 0.5000, 0.4526], [0.0000, 0.0000, 0.9960]], "formation_enthalpy_0k_mev_per_atom": -65, "spacegroup": "Pmm2 (25)"}

4.
{"formula": "NaYSb2Se", "functional": "PBE", "state": "optimized geometry", "cell": [[5.6636, 0.0000, 0.0000], [0.0000, 7.5082, 0.0000], [0.0000, 0.0000, 5.6636]], "species": ["Sb", "Sb", "Y", "Se", "Na"], "fractional_positions": [[0.5000, 0.0000, 0.0000], [0.0000, 0.0000, 0.5000], [0.0000, 0.0000, 0.0000], [0.5000, 0.5000, 0.5000], [0.0000, 0.5000, 0.0000]], "e_form_raw_ev_per_atom": 0.472, "spacegroup": "P4/mmm (123)"}

5.
{"formula": "Tl5HgO2", "functional": "PBE", "state": "optimized geometry", "cell": [[3.5118, -0.4890, 0.0000], [-2.6899, 6.7608, 0.0000], [0.0000, 0.0000, 22.0784]], "species": ["O", "O", "Tl", "Hg", "Tl", "Tl", "Tl", "Tl", "Tl", "Tl", "O", "Hg", "Tl", "O", "Tl", "Tl"], "fractional_positions": [[0.1268, 0.1264, 0.9377], [0.8732, 0.8736, 0.0623], [0.2090, 0.7123, 0.3851], [0.8796, 0.8956, 0.7500], [0.2090, 0.7123, 0.1149], [0.5870, 0.6066, 0.2500], [0.7910, 0.2877, 0.6149], [0.2430, 0.2424, 0.4572], [0.7570, 0.7576, 0.5428], [0.7570, 0.7576, 0.9572], [0.8732, 0.8736, 0.4377], [0.1204, 0.1044, 0.2500], [0.2430, 0.2424, 0.0428], [0.1268, 0.1264, 0.5623], [0.7910, 0.2877, 0.8851], [0.4130, 0.3934, 0.7500]], "e_form_raw_ev_per_atom": -0.370, "spacegroup": "P2_1/m (11)"}

6.
{"formula": "LaScAs2O8", "functional": "PBE", "state": "optimized geometry", "cell": [[5.4828, 0.0000, 0.0000], [-2.7414, 4.7483, 0.0000], [0.0000, 0.0000, 6.9862]], "species": ["La", "O", "O", "Sc", "O", "O", "O", "O", "O", "As", "O", "As"], "fractional_positions": [[0.0000, 0.0000, 0.5000], [0.8381, 0.6763, 0.2030], [0.8381, 0.1619, 0.2030], [0.0000, 0.0000, 0.0000], [0.3333, 0.6667, 0.4769], [0.6667, 0.3333, 0.5231], [0.1619, 0.8381, 0.7970], [0.1619, 0.3237, 0.7970], [0.6763, 0.8381, 0.7970], [0.3333, 0.6667, 0.7194], [0.3237, 0.1619, 0.2030], [0.6667, 0.3333, 0.2806]], "e_form_raw_ev_per_atom": -2.228, "spacegroup": "P-3m1 (164)"}

no.,volume (A^3/atom),E (eV per atom)
1,17.976,-5.93
2,29.077,-4.28
3,85.671,-0.78
4,48.167,-3.43
5,30.947,-3.13
6,15.157,-7.25